Entry 1:
! BeInP2 PBE relaxed; values from VASP
&SYSTEM
  ibrav = 0, nat = 16, ntyp = 3
/
ATOMIC_SPECIES
Be 9.01 Be.upf
In 114.82 In.upf
P 30.97 P.upf
ATOMIC_POSITIONS crystal
Be 0.0000 0.0000 0.0000
Be 0.0000 0.5000 0.5000
Be 0.5000 0.0000 0.5000
Be 0.5000 0.5000 0.0000
In 0.2500 0.2500 0.7500
In 0.2500 0.7500 0.2500
In 0.7500 0.2500 0.2500
In 0.7500 0.7500 0.7500
P 0.0000 0.0000 0.5000
P 0.0000 0.5000 0.0000
P 0.2500 0.2500 0.2500
P 0.2500 0.7500 0.7500
P 0.5000 0.0000 0.0000
P 0.5000 0.5000 0.5000
P 0.7500 0.2500 0.7500
P 0.7500 0.7500 0.2500
CELL_PARAMETERS angstrom
6.4225 0.0000 0.0000
0.0000 6.4225 0.0000
0.0000 0.0000 6.4225
! Energy ... -3.571 eV per atom
! DFT formation energy ... 0.750 eV/atom

Entry 2:
! ScPaN PBE relaxed; values from VASP
&SYSTEM
  ibrav = 0, nat = 12, ntyp = 3
/
ATOMIC_SPECIES
Sc 44.96 Sc.upf
Pa 231.04 Pa.upf
N 14.01 N.upf
ATOMIC_POSITIONS crystal
Sc 0.0320 0.2500 0.2299
Sc 0.4680 0.7500 0.7299
Sc 0.5320 0.2500 0.2701
Sc 0.9680 0.7500 0.7701
Pa 0.2229 0.2500 0.7813
Pa 0.2771 0.7500 0.2813
Pa 0.7229 0.2500 0.7187
Pa 0.7771 0.7500 0.2187
N 0.1123 0.7500 0.0178
N 0.3877 0.2500 0.5178
N 0.6123 0.7500 0.4822
N 0.8877 0.2500 0.9822
CELL_PARAMETERS angstrom
11.9509 0.0000 0.0000
0.0000 3.2803 0.0000
0.0000 0.0000 5.4271
! Energy ... -9.082 eV per atom
! Uncorrected formation energy ... -1.0311 eV/atom
! Polymorph energy (0 for the lowest one) ... 0 meV per atom

Entry 3:
! AgGeIrO6 PBE relaxed; values from VASP
&SYSTEM
  ibrav = 0, nat = 18, ntyp = 4
/
ATOMIC_SPECIES
Ag 107.87 Ag.upf
Ge 72.64 Ge.upf
Ir 192.22 Ir.upf
O 16.00 O.upf
ATOMIC_POSITIONS crystal
Ag 0.0000 0.0000 0.0000
Ag 0.0000 0.0000 0.5000
Ge 0.3333 0.6667 0.2500
Ge 0.6667 0.3333 0.7500
Ir 0.3333 0.6667 0.7500
Ir 0.6667 0.3333 0.2500
O 0.0013 0.3743 0.1384
O 0.0013 0.6270 0.3616
O 0.3730 0.3743 0.3616
O 0.3730 0.9987 0.1384
O 0.3743 0.0013 0.6384
O 0.3743 0.3730 0.8616
O 0.6257 0.6270 0.1384
O 0.6257 0.9987 0.3616
O 0.6270 0.0013 0.8616
O 0.6270 0.6257 0.6384
O 0.9987 0.3730 0.6384
O 0.9987 0.6257 0.8616
CELL_PARAMETERS angstrom
5.1362 0.0000 0.0000
-2.5681 4.4481 0.0000
0.0000 0.0000 9.4912
! Energy ... -5.887 eV per atom
! Uncorrected formation energy ... -0.7673 eV/atom

Entry 4:
! Er2PuBi3 PBE relaxed; values from VASP
&SYSTEM
  ibrav = 0, nat = 12, ntyp = 3
/
ATOMIC_SPECIES
Er 167.26 Er.upf
Pu 244.00 Pu.upf
Bi 208.98 Bi.upf
ATOMIC_POSITIONS crystal
Er 0.0000 0.0000 0.1665
Er 0.0000 0.0000 0.8335
Er 0.5000 0.5000 0.3335
Er 0.5000 0.5000 0.6665
Pu 0.0000 0.0000 0.5000
Pu 0.5000 0.5000 0.0000
Bi 0.0000 0.0000 0.0000
Bi 0.0000 0.0000 0.3316
Bi 0.0000 0.0000 0.6684
Bi 0.5000 0.5000 0.1684
Bi 0.5000 0.5000 0.5000
Bi 0.5000 0.5000 0.8316
CELL_PARAMETERS angstrom
4.4855 0.0000 0.0000
0.0000 4.4855 0.0000
0.0000 0.0000 18.9593
! Energy ... -6.487 eV per atom
! DFT formation energy ... -0.637 eV/atom

Entry 5:
! ThCdGa PBE relaxed; values from VASP
&SYSTEM
  ibrav = 0, nat = 12, ntyp = 3
/
ATOMIC_SPECIES
Th 232.04 Th.upf
Cd 112.41 Cd.upf
Ga 69.72 Ga.upf
ATOMIC_POSITIONS crystal
Th 0.0000 0.0000 0.0000
Th 0.0000 0.5000 0.5000
Th 0.5000 0.0000 0.5000
Th 0.5000 0.5000 0.0000
Cd 0.0000 0.0000 0.5000
Cd 0.0000 0.5000 0.0000
Cd 0.5000 0.0000 0.0000
Cd 0.5000 0.5000 0.5000
Ga 0.2500 0.2500 0.7500
Ga 0.2500 0.7500 0.2500
Ga 0.7500 0.2500 0.2500
Ga 0.7500 0.7500 0.7500
CELL_PARAMETERS angstrom
6.8356 0.0000 0.0000
0.0000 6.8356 0.0000
0.0000 0.0000 6.8356
! Energy ... -3.954 eV per atom
! DFT formation energy ... -0.167 eV/atom

Entry 6:
! As2BrNCl PBE relaxed; values from VASP
&SYSTEM
  ibrav = 0, nat = 5, ntyp = 4
/
ATOMIC_SPECIES
As 74.92 As.upf
Br 79.90 Br.upf
N 14.01 N.upf
Cl 35.45 Cl.upf
ATOMIC_POSITIONS crystal
As 0.0000 0.5000 0.0000
As 0.5000 0.0000 0.0000
Br 0.0000 0.0000 0.5000
N 0.0000 0.0000 0.0000
Cl 0.5000 0.5000 0.5000
CELL_PARAMETERS angstrom
4.5549 0.0000 0.0000
0.0000 4.5549 0.0000
0.0000 0.0000 4.5645
! Energy ... -3.258 eV per atom
! Uncorrected formation energy ... 0.9708 eV/atom
! Polymorph energy (0 for the lowest one) ... 0 meV per atom

Entry 7:
! HgPbC2O6 PBE relaxed; values from VASP
&SYSTEM
  ibrav = 0, nat = 20, ntyp = 4
/
ATOMIC_SPECIES
Hg 200.59 Hg.upf
Pb 207.20 Pb.upf
C 12.01 C.upf
O 16.00 O.upf
ATOMIC_POSITIONS crystal
Hg 0.1101 0.8899 0.7500
Hg 0.8899 0.1101 0.2500
Pb 0.3678 0.6322 0.2500
Pb 0.6322 0.3678 0.7500
C 0.1206 0.3987 0.7497
C 0.3987 0.1206 0.2497
C 0.6013 0.8794 0.7503
C 0.8794 0.6013 0.2503
O 0.0032 0.5442 0.7444
O 0.0400 0.2130 0.6438
O 0.2130 0.0400 0.1438
O 0.3065 0.4382 0.8642
O 0.4382 0.3065 0.3642
O 0.4558 0.9968 0.7556
O 0.5442 0.0032 0.2444
O 0.5618 0.6935 0.6358
O 0.6935 0.5618 0.1358
O 0.7870 0.9600 0.8562
O 0.9600 0.7870 0.3562
O 0.9968 0.4558 0.2556
CELL_PARAMETERS angstrom
4.4613 -4.9462 0.0000
4.4613 4.9462 0.0000
-1.9235 0.0000 6.3476
! Energy ... -6.365 eV per atom
! Uncorrected formation energy ... -1.1444 eV/atom

Entry 8:
! TeAu3 PBE relaxed; values from VASP
&SYSTEM
  ibrav = 0, nat = 4, ntyp = 2
/
ATOMIC_SPECIES
Te 127.60 Te.upf
Au 196.97 Au.upf
ATOMIC_POSITIONS crystal
Te 0.0000 0.0000 0.0000
Au 0.0000 0.0000 0.5000
Au 0.5000 0.5000 0.2578
Au 0.5000 0.5000 0.7422
CELL_PARAMETERS angstrom
3.7736 0.0000 0.0000
0.0000 3.7736 0.0000
0.0000 0.0000 5.7912
! Energy ... -3.093 eV per atom
! Uncorrected formation energy ... 0.1502 eV/atom